Density functional theory data (PBE-GGA) for crystalline Ac2Dy5Y12 at its relaxed geometry.

Values from the calculation:
DOS(E_F) = 1.459 states/eV per atom
DFT total energy = -106.14 eV/f.u.
E_form = 140 meV per atom
energy above the lowest structure with this stoichiometry = 5.4 meV/atom

Unit cell a=16.4092 b=9.9554 c=7.9119 alpha=90.00 beta=91.32 gamma=90.00
Space group C2/m (No. 12)
Asymmetric unit:
Ac 0.0000 0.2046 0.0000 [4 per cell]
Dy 0.0000 0.0000 0.5000 [2 per cell]
Dy 0.1460 0.5000 0.9198 [4 per cell]
Dy 0.2473 0.0000 0.5082 [4 per cell]
Y 0.0505 0.5000 0.2912 [4 per cell]
Y 0.1077 0.2751 0.6038 [8 per cell]
Y 0.1678 0.0000 0.8702 [4 per cell]
Y 0.1988 0.2329 0.2031 [8 per cell]



Density functional theory data (PBE-GGA) for crystalline Ba2Ag2Cl at its relaxed geometry.

Values from the calculation:
DOS(E_F) = 0.701 states/eV per atom
DFT total energy = -14.69 eV/f.u.
energy above the lowest structure with this stoichiometry = 136.3 meV/atom

Unit cell a=4.0134 b=4.0134 c=19.5032 alpha=90.00 beta=90.00 gamma=90.00
Space group I4/mmm (No. 139)
Asymmetric unit:
Ba 0.0000 0.0000 0.1100 [4 per cell]
Ag 0.0000 0.5000 0.2500 [4 per cell]
Cl 0.0000 0.0000 0.5000 [2 per cell]



Density functional theory data (PBE-GGA) for crystalline Mg2BiCl at its relaxed geometry.

Values from the calculation:
DOS(E_F) = 0.045 states/eV per atom
DFT total energy = -10.76 eV/f.u.
energy above the lowest structure with this stoichiometry = 158.2 meV/atom

Unit cell a=7.2732 b=7.2732 c=7.2732 alpha=90.00 beta=90.00 gamma=90.00
Space group Fm-3m (No. 225)
Asymmetric unit:
Mg 0.2500 0.2500 0.2500 [8 per cell]
Bi 0.0000 0.0000 0.0000 [4 per cell]
Cl 0.0000 0.0000 0.5000 [4 per cell]



Density functional theory data (PBE-GGA) for crystalline PuZrAu4 at its relaxed geometry.

Values from the calculation:
DOS(E_F) = 2.610 states/eV per atom
DFT total energy = -38.82 eV/f.u.
E_form = -472 meV per atom

Unit cell a=3.6559 b=3.6559 c=9.2668 alpha=90.00 beta=90.00 gamma=90.00
Space group P4/mmm (No. 123)
Asymmetric unit:
Pu 0.0000 0.0000 0.0000 [1 per cell]
Zr 0.5000 0.5000 0.5000 [1 per cell]
Au 0.0000 0.0000 0.3428 [2 per cell]
Au 0.5000 0.5000 0.1831 [2 per cell]



Density functional theory data (PBE-GGA) for crystalline In4SbSe at its relaxed geometry.

Values from the calculation:
DOS(E_F) = 0.759 states/eV per atom
DFT total energy = -17.38 eV/f.u.

Unit cell a=8.7490 b=8.7490 c=8.7490 alpha=90.00 beta=90.00 gamma=90.00
Space group F-43m (No. 216)
Asymmetric unit:
In 0.1253 0.1253 0.1253 [16 per cell]
Sb 0.2500 0.2500 0.7500 [4 per cell]
Se 0.0000 0.0000 0.5000 [4 per cell]



Density functional theory data (PBE-GGA) for crystalline Ba2LiTb at its relaxed geometry.

Values from the calculation:
DOS(E_F) = 1.545 states/eV per atom
DFT total energy = -9.57 eV/f.u.
E_form = 204 meV per atom
energy above the lowest structure with this stoichiometry = 0.0 meV/atom

Unit cell a=4.3270 b=4.3270 c=9.1707 alpha=90.00 beta=90.00 gamma=90.00
Space group P4/mmm (No. 123)
Asymmetric unit:
Ba 0.0000 0.0000 0.2354 [2 per cell]
Li 0.5000 0.5000 0.0000 [1 per cell]
Tb 0.5000 0.5000 0.5000 [1 per cell]



Density functional theory data (PBE-GGA) for crystalline Rb2RhBr2O2 at its relaxed geometry.

Values from the calculation:
DOS(E_F) = 0.440 states/eV per atom
DFT total energy = -28.68 eV/f.u.

Unit cell a=4.3522 b=4.3522 c=17.0305 alpha=90.00 beta=90.00 gamma=90.00
Space group I4/mmm (No. 139)
Asymmetric unit:
Rb 0.0000 0.0000 0.1112 [4 per cell]
Rh 0.0000 0.0000 0.5000 [2 per cell]
Br 0.0000 0.0000 0.3462 [4 per cell]
O 0.0000 0.5000 0.0000 [4 per cell]



Density functional theory data (PBE-GGA) for crystalline LiPrTh2 at its relaxed geometry.

Values from the calculation:
DOS(E_F) = 1.032 states/eV per atom
DFT total energy = -20.83 eV/f.u.
E_form = 176 meV per atom
energy above the lowest structure with this stoichiometry = 0.0 meV/atom

Unit cell a=3.5052 b=3.5052 c=35.0386 alpha=90.00 beta=90.00 gamma=120.00
Space group R3m (No. 160, hexagonal axes)
Asymmetric unit:
Li 0.0000 0.0000 0.0000 [3 per cell]
Pr 0.0000 0.0000 0.1671 [3 per cell]
Th 0.0000 0.0000 0.4128 [3 per cell]
Th 0.0000 0.0000 0.5874 [3 per cell]



Density functional theory data (PBE-GGA) for crystalline Y4In3Pd at its relaxed geometry.

Values from the calculation:
DOS(E_F) = 0.628 states/eV per atom
DFT total energy = -44.02 eV/f.u.
E_form = -594 meV per atom

Unit cell a=3.5898 b=3.5898 c=15.8029 alpha=90.00 beta=90.00 gamma=90.00
Space group P4/mmm (No. 123)
Asymmetric unit:
Y 0.0000 0.0000 0.1077 [2 per cell]
Y 0.0000 0.0000 0.3688 [2 per cell]
In 0.5000 0.5000 0.2393 [2 per cell]
In 0.5000 0.5000 0.5000 [1 per cell]
Pd 0.5000 0.5000 0.0000 [1 per cell]



Density functional theory data (PBE-GGA) for crystalline Mg6InRh2 at its relaxed geometry.

Values from the calculation:
DOS(E_F) = 0.628 states/eV per atom
DFT total energy = -27.68 eV/f.u.
E_form = -74 meV per atom

Unit cell a=4.8970 b=4.8970 c=7.9690 alpha=90.00 beta=90.00 gamma=90.00
Space group P4/mmm (No. 123)
Asymmetric unit:
Mg 0.0000 0.0000 0.0000 [1 per cell]
Mg 0.0000 0.5000 0.2532 [4 per cell]
Mg 0.5000 0.5000 0.0000 [1 per cell]
In 0.0000 0.0000 0.5000 [1 per cell]
Rh 0.5000 0.5000 0.3422 [2 per cell]



Density functional theory data (PBE-GGA) for crystalline ReSnRu3 at its relaxed geometry.

Values from the calculation:
DOS(E_F) = 1.108 states/eV per atom
DFT total energy = -37.46 eV/f.u.
E_form = 1363 meV per atom
energy above the lowest structure with this stoichiometry = 0.0 meV/atom

Unit cell a=4.6939 b=4.6939 c=4.6939 alpha=90.00 beta=90.00 gamma=90.00
Space group Pm-3m (No. 221)
Asymmetric unit:
Re 0.0000 0.0000 0.0000 [1 per cell]
Sn 0.5000 0.5000 0.5000 [1 per cell]
Ru 0.0000 0.0000 0.5000 [3 per cell]